Below is a crystal of CsLaCr2Mo relaxed with PBEsol, with properties calculated at the SCAN level.

Summary:
The space-group type is P4/mmm, No. 123. For the density of states at the Fermi level, the calculation gives 0.8128 states/eV per atom. The formation energy is 904.3 meV per atom. As for the uncorrected energy: -29.6097 eV/atom.

a = 4.949 Å, b = 4.949 Å, c = 5.418 Å
α = 90.00°, β = 90.00°, γ = 90.00°
Sites, in units of the cell vectors:
Mo 0.000 0.000 0.000
Cr 0.000 0.500 0.000
Cr 0.500 0.000 0.000
Cs 0.500 0.500 0.500
La 0.000 0.000 0.500